[1]
This record from the Alexandria database describes crystalline Be2ZnPt2 at its relaxed geometry. The functional is GGA-PBEsol.

Cell: 2.719 6.733 6.733 Å, 90.00 90.00 90.00°
Sites, in units of the cell vectors:
Be  0.500  0.641  0.859
Be  0.500  0.859  0.359
Be  0.500  0.141  0.641
Be  0.500  0.359  0.141
Zn  0.000  0.000  0.000
Zn  0.000  0.500  0.500
Pt  0.000  0.846  0.654
Pt  0.000  0.346  0.846
Pt  0.000  0.654  0.154
Pt  0.000  0.154  0.346

## Properties
E: -26.319 eV/f.u.
ΔE_f: -562 meV per atom

[2]
This record from the Alexandria database describes crystalline KSeCl2 at its relaxed geometry. The functional is GGA-PBEsol.

Cell: 5.250 5.250 5.250 Å, 60.00 60.00 60.00°
Last column: magnetic moment on the atom in μB.
Sites, in units of the cell vectors:
Cl  0.000  0.000  0.000  0.57
Cl  0.750  0.750  0.750  0.30
K  0.500  0.500  0.500  0.02
Se  0.250  0.250  0.250  1.23

## Properties
E_form (uncorrected): -23.3 kJ/mol of atoms
E: -9.963 eV/f.u.
Energy relative to the lowest polymorph listed for this composition: 0.591 eV/atom